First-principles (PBE-GGA) data for a geometry-optimized Co2AgPt structure, as listed in Alexandria via LeMat-Bulk.

Calculated values
**Crystal system**: monoclinic
**Uncorrected energy**: -5.55 eV per atom
**SG**: No. 12
**ΔE_f**: 223 meV/atom
**Total magnetic moment**: 3.96 μB/f.u.

Cell and atoms, written as POSCAR:
```
Co2AgPt
1.0
4.613 0.001 -0.006
3.809 2.602 -0.006
0.787 0.243 4.751
Pt Co Ag
1 2 1
Cartesian
6.906 2.135 3.554
4.582 1.416 2.514
0.809 0.250 4.606
2.302 0.712 1.185
```

First-principles (PBE-GGA) data for a geometry-optimized LiScPdC2 structure, as listed in Alexandria via LeMat-Bulk.

Calculated values
**Crystal system**: tetragonal
**Uncorrected energy**: -5.29 eV per atom
**SG**: No. 123
**ΔE_f**: 1092 meV/atom
**Total magnetic moment**: 0.00 μB/f.u.

Cell and atoms, written as POSCAR:
```
LiScPdC2
1.0
4.078 0.000 0.000
0.000 4.003 0.000
0.000 0.000 4.078
Sc C Li Pd
1 2 1 1
Cartesian
2.039 2.001 2.039
2.039 0.000 0.000
0.000 0.000 2.039
0.000 2.001 0.000
0.000 0.000 0.000
```

First-principles (PBE-GGA) data for a geometry-optimized FeOs4Pt structure, as listed in Alexandria via LeMat-Bulk.

Calculated values
**Crystal system**: cubic
**Uncorrected energy**: -9.12 eV per atom
**SG**: No. 216
**ΔE_f**: 787 meV/atom
**Total magnetic moment**: 3.85 μB/f.u.

Cell and atoms, written as POSCAR:
```
FeOs4Pt
1.0
0.000 3.617 3.617
3.617 0.000 3.617
3.617 3.617 0.000
Pt Fe Os
1 1 4
Cartesian
5.426 5.426 5.426
0.000 0.000 0.000
4.519 2.715 4.519
2.715 2.715 2.715
4.519 4.519 2.715
2.715 4.519 4.519
```

First-principles (PBE-GGA) data for a geometry-optimized ScInHg structure, as listed in Alexandria via LeMat-Bulk.

Calculated values
**Crystal system**: cubic
**Uncorrected energy**: -3.42 eV per atom
**SG**: No. 216
**ΔE_f**: -299 meV/atom
**Total magnetic moment**: 0.00 μB/f.u.
**ΔE to the lowest computed polymorph**: 22 meV/atom

Cell and atoms, written as POSCAR:
```
ScInHg
1.0
-0.600 0.001 4.677
3.392 -1.680 2.813
2.502 2.950 2.698
Hg In Sc
1 1 1
Cartesian
3.970 0.953 7.641
0.000 0.000 0.000
2.647 0.635 5.094
```

Among the records above, which one has the highest uncorrected energy? ScInHg

Which of these has the lowest ΔE_f? ScInHg

Among the records above, which one has the highest uncorrected energy? ScInHg